1) 15
Lattice="5.7518 0.0000 0.0000 -2.8759 4.9812 0.0000 0.0000 0.0000 20.6713" Properties=species:S:1:pos:R:3 comment="KCd3Pt, optimized geometry, DFT PBE" sg="R3m (160)" n_ef_per_ev_cell=5.8 volume_a3_per_fu=197.4 pbc="T T T"
K 0.0000 0.0000 0.0000
K 0.0000 3.3208 13.7809
K 2.8759 1.6604 6.8904
Cd 0.0000 1.6725 17.1454
Cd -1.4275 4.1450 17.1454
Cd 1.4275 0.8241 3.3645
Cd 2.8759 0.0121 10.2549
Cd 1.4485 2.4846 10.2549
Cd 1.4275 4.1450 17.1454
Cd 4.3244 0.8241 3.3645
Cd 2.8759 3.3329 3.3645
Cd 4.3034 2.4846 10.2549
Pt 0.0000 0.0000 15.0181
Pt 0.0000 3.3208 8.1277
Pt 2.8759 1.6604 1.2373

***

2) 10
Lattice="8.1854 -2.3879 0.0000 8.1854 2.3879 0.0000 -0.8664 0.0000 7.6361" Properties=species:S:1:pos:R:3 comment="KCd3Pt, optimized geometry, DFT PBE" sg="C2/m (12)" n_ef_per_ev_cell=3.9 volume_a3_per_fu=149.3 pbc="T T T"
K 1.6171 0.0000 3.0379
K 13.8874 0.0000 4.5982
Cd 0.3804 0.0000 6.8383
Cd 3.5980 0.0000 6.2074
Cd 5.4070 0.0000 1.6929
Cd 10.0975 0.0000 5.9433
Cd 11.9065 0.0000 1.4287
Cd 15.1240 0.0000 0.7978
Pt 6.1594 0.0000 7.0471
Pt 9.3451 0.0000 0.5890

***

Verdict on stability: 1) comes out at the bottom.

***

1) 12
Lattice="9.1795 0.0000 0.0000 0.0000 2.8136 0.0000 -3.2370 0.0000 7.1706" Properties=species:S:1:pos:R:3 comment="MgOsRu, optimized geometry, DFT PBE" sg="Cm (8)" n_ef_per_ev_cell=9.3 volume_a3_per_fu=46.3 pbc="T T T"
Mg 0.0000 0.0000 0.0000
Mg -1.0378 1.4068 5.7970
Mg 4.5897 1.4068 0.0000
Mg 3.5519 0.0000 5.7970
Os 1.0582 0.0000 4.5663
Os 2.9859 1.4068 3.3334
Os 5.6479 1.4068 4.5663
Os 7.5756 0.0000 3.3334
Ru 0.4945 1.4068 2.4676
Ru 2.4972 0.0000 1.2177
Ru 5.0842 0.0000 2.4676
Ru 7.0870 1.4068 1.2177

***

2) 6
Lattice="4.4995 0.0000 0.0000 -2.2498 3.8967 0.0000 0.0000 0.0000 9.1973" Properties=species:S:1:pos:R:3 comment="MgOsRu, optimized geometry, DFT PBE" sg="P6_3/mmc (194)" n_ef_per_ev_cell=6.8 volume_a3_per_fu=80.6 pbc="T T T"
Mg 0.0000 2.5978 2.2993
Mg 2.2498 1.2989 6.8980
Os 0.0000 0.0000 0.0000
Os 0.0000 0.0000 4.5987
Ru 0.0000 0.0000 2.2993
Ru 0.0000 0.0000 6.8980

***

Verdict on stability: 2) comes out at the bottom.

***

1) 4
Lattice="3.1507 0.0000 0.0000 -1.4366 5.3431 0.0000 -1.5639 -1.2720 5.4888" Properties=species:S:1:pos:R:3 comment="AgSb, optimized geometry, DFT PBE" sg="P-1 (2)" n_ef_per_ev_cell=1.5 volume_a3_per_fu=46.2 pbc="T T T"
Ag -0.7225 1.1274 1.8829
Ag 0.8728 2.9437 3.6059
Sb -0.6755 3.9752 1.0928
Sb 0.8258 0.0959 4.3960

***

2) 4
Lattice="3.5814 0.0000 0.0000 0.0000 5.7611 0.0000 0.0000 0.0000 4.5874" Properties=species:S:1:pos:R:3 comment="AgSb, optimized geometry, DFT PBE" sg="Pmmn (59)" n_ef_per_ev_cell=1.6 volume_a3_per_fu=47.3 pbc="T T T"
Ag 0.8954 1.4403 0.8072
Ag 2.6861 4.3208 3.7802
Sb 0.8954 4.3208 1.4743
Sb 2.6861 1.4403 3.1131

***

Verdict on stability: 2) comes out at the bottom.

***

1) 12
Lattice="2.9436 0.0000 0.0000 -1.4718 2.5492 0.0000 0.0000 0.0000 36.6494" Properties=species:S:1:pos:R:3 comment="IrAuBr2, optimized geometry, DFT PBE" sg="R-3m (166)" n_ef_per_ev_cell=8.8 volume_a3_per_fu=91.7 pbc="T T T"
Ir 0.0000 0.0000 0.0000
Ir 0.0000 1.6995 24.4329
Ir 1.4718 0.8497 12.2164
Au 0.0000 0.0000 18.3247
Au 0.0000 1.6995 6.1082
Au 1.4718 0.8497 30.5411
Br 0.0000 0.0000 2.3958
Br 0.0000 0.0000 34.2535
Br 0.0000 1.6995 22.0371
Br 0.0000 1.6995 26.8287
Br 1.4718 0.8497 9.8206
Br 1.4718 0.8497 14.6123

***

2) 4
Lattice="3.1363 0.0000 0.0000 0.0000 3.1363 0.0000 0.0000 0.0000 8.4719" Properties=species:S:1:pos:R:3 comment="IrAuBr2, optimized geometry, DFT PBE" sg="P4/mmm (123)" n_ef_per_ev_cell=3.1 volume_a3_per_fu=83.3 pbc="T T T"
Ir 0.0000 0.0000 0.0000
Au 0.0000 0.0000 4.2360
Br 1.5682 1.5682 1.6863
Br 1.5682 1.5682 6.7856

***

Verdict on stability: 2) comes out at the bottom.